## K4BaV6O18 (GGA+U)

Data for an optimized crystal structure of K4BaV6O18.

Output
uncorrected energy = -6.91 eV/atom

abc: 10.3134 10.3134 10.3134
angles: 84.25 84.25 84.25
With the nearest neighbours (Å) after each atom.
Element x y z (fractional)
1 K 0.0000 0.0000 0.0000  6 O 2.78-3.04
2 K 0.0036 0.5699 0.4198  7 O 2.87-3.08
3 K 0.0699 0.5036 0.9198  7 O 2.87-3.08
4 K 0.4198 0.0036 0.5699  7 O 2.87-3.08
5 K 0.5000 0.5000 0.5000  6 O 2.78-3.04
6 K 0.5036 0.9198 0.0699  7 O 2.87-3.08
7 K 0.5699 0.4198 0.0036  7 O 2.87-3.08
8 K 0.9198 0.0699 0.5036  7 O 2.87-3.08
9 Ba 0.2181 0.2181 0.2181  9 O 2.75-2.99
10 Ba 0.7181 0.7181 0.7181  9 O 2.75-2.99
11 V 0.0970 0.7917 0.6787  4 O 1.67-1.82
12 V 0.1787 0.2917 0.5970  4 O 1.67-1.82
13 V 0.1973 0.8835 0.3395  4 O 1.67-1.81
14 V 0.2917 0.5970 0.1787  4 O 1.67-1.82
15 V 0.3395 0.1973 0.8835  4 O 1.67-1.81
16 V 0.3835 0.6973 0.8395  4 O 1.67-1.81
17 V 0.5970 0.1787 0.2917  4 O 1.67-1.82
18 V 0.6787 0.0970 0.7917  4 O 1.67-1.82
19 V 0.6973 0.8395 0.3835  4 O 1.67-1.81
20 V 0.7917 0.6787 0.0970  4 O 1.67-1.82
21 V 0.8395 0.3835 0.6973  4 O 1.67-1.81
22 V 0.8835 0.3395 0.1973  4 O 1.67-1.81
23 O 0.0144 0.3474 0.6613  2 V 1.81-1.82
24 O 0.0265 0.9241 0.7464  1 V 1.67
25 O 0.0807 0.9914 0.2766  1 V 1.69
26 O 0.1613 0.8474 0.5144  2 V 1.81-1.82
27 O 0.1790 0.1813 0.4869  1 V 1.69
28 O 0.1813 0.4869 0.1790  1 V 1.69
29 O 0.2071 0.7294 0.2675  2 V 1.81-1.82
30 O 0.2294 0.7071 0.7675  2 V 1.81-1.82
31 O 0.2464 0.4241 0.5265  1 V 1.67
32 O 0.2675 0.2071 0.7294  2 V 1.81-1.82
33 O 0.2766 0.0807 0.9914  1 V 1.69
34 O 0.3105 0.3383 0.9534  1 V 1.67
35 O 0.3383 0.9534 0.3105  1 V 1.67
36 O 0.3474 0.6613 0.0144  2 V 1.81-1.82
37 O 0.4241 0.5265 0.2464  1 V 1.67
38 O 0.4534 0.8383 0.8105  1 V 1.67
39 O 0.4869 0.1790 0.1813  1 V 1.69
40 O 0.4914 0.5807 0.7766  1 V 1.69
41 O 0.5144 0.1613 0.8474  2 V 1.81-1.82
42 O 0.5265 0.2464 0.4241  1 V 1.67
43 O 0.5807 0.7766 0.4914  1 V 1.69
44 O 0.6613 0.0144 0.3474  2 V 1.81-1.82
45 O 0.6790 0.9869 0.6813  1 V 1.69
46 O 0.6813 0.6790 0.9869  1 V 1.69
47 O 0.7071 0.7675 0.2294  2 V 1.81-1.82
48 O 0.7294 0.2675 0.2071  2 V 1.81-1.82
49 O 0.7464 0.0265 0.9241  1 V 1.67
50 O 0.7675 0.2294 0.7071  2 V 1.81-1.82
51 O 0.7766 0.4914 0.5807  1 V 1.69
52 O 0.8105 0.4534 0.8383  1 V 1.67
53 O 0.8383 0.8105 0.4534  1 V 1.67
54 O 0.8474 0.5144 0.1613  2 V 1.81-1.82
55 O 0.9241 0.7464 0.0265  1 V 1.67
56 O 0.9534 0.3105 0.3383  1 V 1.67
57 O 0.9869 0.6813 0.6790  1 V 1.69
58 O 0.9914 0.2766 0.0807  1 V 1.69